Entry 1:
V2Si | PBE-GGA | relaxed

a = 2.7530 Å, b = 4.7065 Å, c = 6.8394 Å
α = 103.54°, β = 101.38°, γ = 102.47°
Closest atoms and distances in Å follow each position.
Atoms (fractional coordinates):
V (0.1481, 0.0187, 0.3170)  4 Si 2.50-2.55, 4 V 2.55-2.75
V (0.2698, 0.7366, 0.9714)  4 V 2.43-2.70, 2 Si 2.52-2.53
V (0.7302, 0.2634, 0.0286)  4 V 2.43-2.70, 2 Si 2.52-2.53
V (0.8519, 0.9813, 0.6830)  4 Si 2.50-2.55, 4 V 2.55-2.75
Si (0.4915, 0.5702, 0.3329)  7 V 2.50-2.76, 3 Si 2.52-2.75
Si (0.5085, 0.4298, 0.6671)  7 V 2.50-2.76, 3 Si 2.52-2.75

Calculated values
Its space group is P-1 (2). As for the mass density: 5.32 g cm⁻³.


Entry 2:
VSi | PBE-GGA | relaxed

a = 2.6919 Å, b = 2.6919 Å, c = 3.7056 Å
α = 90.00°, β = 90.00°, γ = 104.17°
Closest atoms and distances in Å follow each position.
Atoms (fractional coordinates):
V (0.0000, 0.0000, 0.0000)  4 Si 2.48, 4 V 2.69
Si (0.5000, 0.5000, 0.5000)  4 V 2.48, 4 Si 2.69

Calculated values
Its space group is Cmmm (65). As for the mass density: 5.04 g cm⁻³.


Entry 3:
VSi | PBE-GGA | relaxed

a = 6.5079 Å, b = 6.5079 Å, c = 6.5079 Å
α = 109.47°, β = 109.47°, γ = 109.47°
Closest atoms and distances in Å follow each position.
Atoms (fractional coordinates):
V (0.0000, 0.0000, 0.2450)  4 Si 2.45, 3 V 2.60
V (0.0000, 0.2450, 0.0000)  4 Si 2.45, 3 V 2.60
V (0.2450, 0.0000, 0.0000)  4 Si 2.45, 3 V 2.60
V (0.7550, 0.7550, 0.7550)  4 Si 2.45, 3 V 2.60
Si (0.0000, 0.0000, 0.6219)  4 V 2.45
Si (0.0000, 0.6219, 0.0000)  4 V 2.45
Si (0.3781, 0.3781, 0.3781)  4 V 2.45
Si (0.6219, 0.0000, 0.0000)  4 V 2.45

Calculated values
Its space group is I-43m (217). As for the mass density: 2.47 g cm⁻³.


Entry 4:
VSi | PBE-GGA | relaxed

a = 9.2311 Å, b = 7.8336 Å, c = 5.2367 Å
α = 87.50°, β = 57.97°, γ = 34.52°
Closest atoms and distances in Å follow each position.
Atoms (fractional coordinates):
V (0.0123, 0.0123, 0.2377)  6 Si 2.50-2.59, 4 V 2.65-2.67
V (0.2377, 0.2377, 0.0123)  6 Si 2.50-2.59, 4 V 2.65-2.67
V (0.7623, 0.7623, 0.9877)  6 Si 2.50-2.59, 4 V 2.65-2.67
V (0.9877, 0.9877, 0.7623)  6 Si 2.50-2.59, 4 V 2.65-2.67
Si (0.2386, 0.5114, 0.2386)  6 V 2.50-2.59, 5 Si 2.66-2.76
Si (0.4886, 0.7614, 0.4886)  6 V 2.50-2.59, 5 Si 2.66-2.76
Si (0.5114, 0.2386, 0.5114)  6 V 2.50-2.59, 5 Si 2.66-2.76
Si (0.7614, 0.4886, 0.7614)  6 V 2.50-2.59, 5 Si 2.66-2.76

Calculated values
Its space group is Fddd (70). As for the mass density: 5.02 g cm⁻³.


Entry 5:
VSi | PBE-GGA | relaxed

a = 4.7116 Å, b = 4.7116 Å, c = 4.7116 Å
α = 134.95°, β = 134.95°, γ = 65.61°
Closest atoms and distances in Å follow each position.
Atoms (fractional coordinates):
V (0.3750, 0.6250, 0.7500)  8 Si 2.55-2.68, 4 V 2.68
V (0.6250, 0.3750, 0.2500)  8 Si 2.55-2.68, 4 V 2.68
Si (0.1250, 0.8750, 0.2500)  8 V 2.55-2.68, 4 Si 2.68
Si (0.8750, 0.1250, 0.7500)  8 V 2.55-2.68, 4 Si 2.68

Calculated values
Its space group is I4_1/amd (141). As for the mass density: 5.08 g cm⁻³.


Entry 6:
VSi | PBE-GGA | relaxed

a = 3.9122 Å, b = 3.9122 Å, c = 3.9122 Å
α = 60.00°, β = 60.00°, γ = 60.00°
Closest atoms and distances in Å follow each position.
Atoms (fractional coordinates):
V (0.0000, 0.0000, 0.0000)  4 Si 2.40
Si (0.2500, 0.2500, 0.2500)  4 V 2.40

Calculated values
Its space group is F-43m (216). As for the mass density: 3.10 g cm⁻³.


Entry 7:
VSi | PBE-GGA | relaxed

a = 4.2023 Å, b = 4.2023 Å, c = 4.7259 Å
α = 90.00°, β = 90.00°, γ = 120.00°
Closest atoms and distances in Å follow each position.
Atoms (fractional coordinates):
V (0.3333, 0.6667, 0.2500)  5 Si 2.36-2.43
V (0.6667, 0.3333, 0.7500)  5 Si 2.36-2.43
Si (0.3333, 0.6667, 0.7500)  5 V 2.36-2.43
Si (0.6667, 0.3333, 0.2500)  5 V 2.36-2.43

Calculated values
Its space group is P6_3/mmc (194). As for the mass density: 3.63 g cm⁻³.


Entry 8:
VSi | PBE-GGA | relaxed

a = 5.6449 Å, b = 5.6449 Å, c = 5.6449 Å
α = 100.16°, β = 100.16°, γ = 130.33°
Closest atoms and distances in Å follow each position.
Atoms (fractional coordinates):
V (0.0878, 0.3209, 0.4087)  4 Si 2.32-2.44
V (0.3209, 0.9122, 0.2331)  4 Si 2.32-2.44
V (0.6791, 0.0878, 0.7669)  4 Si 2.32-2.44
V (0.9122, 0.6791, 0.5913)  4 Si 2.32-2.44
Si (0.2605, 0.5910, 0.8515)  4 V 2.32-2.44
Si (0.4090, 0.2605, 0.6694)  4 V 2.32-2.44
Si (0.5910, 0.7395, 0.3306)  4 V 2.32-2.44
Si (0.7395, 0.4090, 0.1485)  4 V 2.32-2.44

Calculated values
Its space group is I4/m (87). As for the mass density: 4.22 g cm⁻³.


Entry 9:
VSi4 | PBE-GGA | relaxed

a = 4.5773 Å, b = 4.5773 Å, c = 4.5773 Å
α = 90.00°, β = 90.00°, γ = 90.00°
Closest atoms and distances in Å follow each position.
Atoms (fractional coordinates):
V (0.0000, 0.0000, 0.0000)  6 Si 2.29
Si (0.0000, 0.0000, 0.5000)  2 V 2.29
Si (0.0000, 0.5000, 0.0000)  2 V 2.29
Si (0.5000, 0.0000, 0.0000)  2 V 2.29
Si (0.5000, 0.5000, 0.5000)  12 Si 3.24

Calculated values
Its space group is Pm-3m (221). As for the mass density: 2.83 g cm⁻³.


Entry 10:
V3Si | PBE-GGA | relaxed

a = 4.2572 Å, b = 4.2572 Å, c = 4.2572 Å
α = 109.47°, β = 109.47°, γ = 109.47°
Closest atoms and distances in Å follow each position.
Atoms (fractional coordinates):
V (0.0000, 0.5000, 0.5000)  2 Si 2.46, 4 V 2.46
V (0.5000, 0.0000, 0.5000)  2 Si 2.46, 4 V 2.46
V (0.5000, 0.5000, 0.0000)  2 Si 2.46, 4 V 2.46
Si (0.0000, 0.0000, 0.0000)  6 V 2.46

Calculated values
Its space group is Im-3m (229). As for the mass density: 5.06 g cm⁻³.


Entry 11:
V5Si | PBE-GGA | relaxed

a = 4.8751 Å, b = 4.8751 Å, c = 4.2686 Å
α = 90.00°, β = 90.00°, γ = 128.34°
Closest atoms and distances in Å follow each position.
Atoms (fractional coordinates):
V (0.0000, 0.0000, 0.0000)  8 V 2.59-2.61
V (0.1712, 0.8288, 0.5000)  6 V 2.53-2.61, 2 Si 2.60
V (0.3310, 0.6690, 0.0000)  6 V 2.55-2.59, 2 Si 2.60
V (0.6690, 0.3310, 0.0000)  6 V 2.55-2.59, 2 Si 2.60
V (0.8288, 0.1712, 0.5000)  6 V 2.53-2.61, 2 Si 2.60
Si (0.5000, 0.5000, 0.5000)  10 V 2.60-2.89

Calculated values
Its polymorph energy (0 for the lowest one) is 28.6 meV per atom. Its space group is Cmmm (65). As for the mass density: 5.90 g cm⁻³.


Entry 12:
VSi | PBE-GGA | relaxed

a = 6.5698 Å, b = 6.5698 Å, c = 6.5698 Å
α = 156.30°, β = 51.71°, γ = 134.74°
Closest atoms and distances in Å follow each position.
Atoms (fractional coordinates):
V (0.0000, 0.0000, 0.0000)  6 Si 2.43-2.62, 2 V 2.70
V (0.0881, 0.7668, 0.3213)  6 Si 2.51-2.73, 2 V 2.70
V (0.4455, 0.7668, 0.6787)  6 Si 2.51-2.73, 2 V 2.70
Si (0.4811, 0.4811, 0.0000)  2 V 2.43-2.62, 6 Si 2.57-2.70
Si (0.6170, 0.2593, 0.3577)  6 V 2.48-2.60, 4 Si 2.57-2.70
Si (0.9016, 0.2593, 0.6423)  6 V 2.48-2.60, 4 Si 2.57-2.70

Calculated values
Its space group is Imm2 (44). As for the mass density: 4.88 g cm⁻³.


Entry 13:
V7Si | PBE-GGA | relaxed

a = 6.6586 Å, b = 6.6586 Å, c = 6.6586 Å
α = 142.93°, β = 142.93°, γ = 53.42°
Closest atoms and distances in Å follow each position.
Atoms (fractional coordinates):
V (0.0000, 0.0000, 0.0000)  8 V 2.61
V (0.1277, 0.6277, 0.5000)  6 V 2.56-2.61, 2 Si 2.61
V (0.2517, 0.2517, 0.0000)  8 V 2.56-2.58
V (0.3723, 0.8723, 0.5000)  6 V 2.56-2.61, 2 Si 2.61
V (0.6277, 0.1277, 0.5000)  6 V 2.56-2.61, 2 Si 2.61
V (0.7483, 0.7483, 0.0000)  8 V 2.56-2.58
V (0.8723, 0.3723, 0.5000)  6 V 2.56-2.61, 2 Si 2.61
Si (0.5000, 0.5000, 0.0000)  8 V 2.61

Calculated values
Its space group is I4/mmm (139). As for the mass density: 5.99 g cm⁻³.


Entry 14:
VSi | PBE-GGA | relaxed

a = 3.8960 Å, b = 2.7283 Å, c = 2.7283 Å
α = 65.75°, β = 90.00°, γ = 90.00°
Closest atoms and distances in Å follow each position.
Atoms (fractional coordinates):
V (0.0000, 0.0000, 0.0000)  6 Si 2.53-2.54, 4 V 2.73
Si (0.5000, 0.6435, 0.6435)  6 V 2.53-2.54, 4 Si 2.73

Calculated values
Its space group is Amm2 (38). As for the mass density: 4.96 g cm⁻³.


Entry 15:
V5Si | PBE-GGA | relaxed

a = 4.9025 Å, b = 7.4931 Å, c = 4.9070 Å
α = 90.00°, β = 117.84°, γ = 90.00°
Closest atoms and distances in Å follow each position.
Atoms (fractional coordinates):
V (0.0582, 0.0813, 0.3025)  7 V 2.51-2.64, 1 Si 2.68
V (0.0582, 0.4187, 0.3025)  7 V 2.51-2.64, 1 Si 2.68
V (0.1034, 0.2500, 0.8534)  2 Si 2.52-2.54, 6 V 2.61-2.65
V (0.4414, 0.5825, 0.1884)  6 V 2.50-2.65, 2 Si 2.62-2.68
V (0.4414, 0.9175, 0.1884)  6 V 2.50-2.65, 2 Si 2.62-2.68
V (0.5586, 0.0825, 0.8116)  6 V 2.50-2.65, 2 Si 2.62-2.68
V (0.5586, 0.4175, 0.8116)  6 V 2.50-2.65, 2 Si 2.62-2.68
V (0.8966, 0.7500, 0.1466)  2 Si 2.52-2.54, 6 V 2.61-2.65
V (0.9418, 0.5813, 0.6975)  7 V 2.51-2.64, 1 Si 2.68
V (0.9418, 0.9187, 0.6975)  7 V 2.51-2.64, 1 Si 2.68
Si (0.3993, 0.7500, 0.6489)  8 V 2.52-2.68
Si (0.6007, 0.2500, 0.3511)  8 V 2.52-2.68

Calculated values
Its polymorph energy (0 for the lowest one) is 77.3 meV per atom. Its space group is P2_1/m (11). As for the mass density: 5.89 g cm⁻³.


Entry 16:
V4Si5 | PBE-GGA | relaxed

a = 5.6727 Å, b = 5.6727 Å, c = 5.6727 Å
α = 100.28°, β = 100.28°, γ = 130.03°
Closest atoms and distances in Å follow each position.
Atoms (fractional coordinates):
V (0.0483, 0.3302, 0.3785)  6 Si 2.43-2.59, 1 V 2.57
V (0.3302, 0.9517, 0.2818)  6 Si 2.43-2.59, 1 V 2.57
V (0.6698, 0.0483, 0.7182)  6 Si 2.43-2.59, 1 V 2.57
V (0.9517, 0.6698, 0.6215)  6 Si 2.43-2.59, 1 V 2.57
Si (0.0000, 0.0000, 0.0000)  4 V 2.43
Si (0.2809, 0.5986, 0.8795)  5 V 2.45-2.59, 2 Si 2.47
Si (0.4014, 0.2809, 0.6823)  5 V 2.45-2.59, 2 Si 2.47
Si (0.5986, 0.7191, 0.3177)  5 V 2.45-2.59, 2 Si 2.47
Si (0.7191, 0.4014, 0.1205)  5 V 2.45-2.59, 2 Si 2.47

Calculated values
Its space group is I4/m (87). As for the mass density: 4.51 g cm⁻³.


Entry 17:
V8Si | PBE-GGA | relaxed

a = 5.7427 Å, b = 5.7427 Å, c = 5.7427 Å
α = 97.94°, β = 97.94°, γ = 136.36°
Closest atoms and distances in Å follow each position.
Atoms (fractional coordinates):
V (0.0000, 0.3282, 0.3282)  1 Si 2.47, 7 V 2.55-2.76
V (0.0000, 0.6718, 0.6718)  1 Si 2.47, 7 V 2.55-2.76
V (0.3282, 0.0000, 0.3282)  1 Si 2.47, 7 V 2.55-2.76
V (0.3382, 0.3382, 0.6765)  4 V 2.44-2.55
V (0.3382, 0.6618, 0.0000)  4 V 2.44-2.55
V (0.6618, 0.3382, 0.0000)  4 V 2.44-2.55
V (0.6618, 0.6618, 0.3235)  4 V 2.44-2.55
V (0.6718, 0.0000, 0.6718)  1 Si 2.47, 7 V 2.55-2.76
Si (0.0000, 0.0000, 0.0000)  12 V 2.47-2.74

Calculated values
Its space group is I4/mmm (139). As for the mass density: 5.96 g cm⁻³.


Entry 18:
VSi2W2 | PBE-GGA | relaxed

a = 6.9386 Å, b = 6.9386 Å, c = 3.1426 Å
α = 90.00°, β = 90.00°, γ = 90.00°
Closest atoms and distances in Å follow each position.
Atoms (fractional coordinates):
V (0.0000, 0.0000, 0.0000)  4 W 2.66
V (0.5000, 0.5000, 0.0000)  4 W 2.66
Si (0.1522, 0.3478, 0.5000)  6 W 2.54-2.59
Si (0.3478, 0.8478, 0.5000)  6 W 2.54-2.59
Si (0.6522, 0.1522, 0.5000)  6 W 2.54-2.59
Si (0.8478, 0.6522, 0.5000)  6 W 2.54-2.59
W (0.1444, 0.6444, 0.0000)  6 Si 2.54-2.59, 2 V 2.66, 1 W 2.83
W (0.3556, 0.1444, 0.0000)  6 Si 2.54-2.59, 2 V 2.66, 1 W 2.83
W (0.6444, 0.8556, 0.0000)  6 Si 2.54-2.59, 2 V 2.66, 1 W 2.83
W (0.8556, 0.3556, 0.0000)  6 Si 2.54-2.59, 2 V 2.66, 1 W 2.83

Calculated values
Its polymorph energy (0 for the lowest one) is 415.5 meV per atom. Its space group is P4/mbm (127). As for the mass density: 10.42 g cm⁻³.


Entry 19:
VSiW3 | PBE-GGA | relaxed

a = 4.4763 Å, b = 4.4763 Å, c = 4.4763 Å
α = 90.00°, β = 90.00°, γ = 90.00°
Closest atoms and distances in Å follow each position.
Atoms (fractional coordinates):
V (0.0000, 0.0000, 0.0000)  12 W 3.17
Si (0.5000, 0.5000, 0.5000)  6 W 2.24
W (0.0000, 0.5000, 0.5000)  2 Si 2.24
W (0.5000, 0.0000, 0.5000)  2 Si 2.24
W (0.5000, 0.5000, 0.0000)  2 Si 2.24

Calculated values
Its polymorph energy (0 for the lowest one) is 0.0 meV per atom. Its space group is Pm-3m (221). As for the mass density: 11.67 g cm⁻³.


Entry 20:
VSiW | PBE-GGA | relaxed

a = 7.3229 Å, b = 7.1713 Å, c = 5.5283 Å
α = 69.04°, β = 66.13°, γ = 44.83°
Closest atoms and distances in Å follow each position.
Atoms (fractional coordinates):
V (0.0491, 0.0491, 0.7009)  4 Si 2.35-2.40
V (0.2991, 0.2991, 0.9509)  4 Si 2.35-2.40
V (0.7009, 0.7009, 0.0491)  4 Si 2.35-2.40
V (0.9509, 0.9509, 0.2991)  4 Si 2.35-2.40
Si (0.0238, 0.7262, 0.7262)  1 Si 2.24, 4 V 2.35-2.40, 2 W 2.50
Si (0.2738, 0.9762, 0.9762)  1 Si 2.24, 4 V 2.35-2.40, 2 W 2.50
Si (0.7262, 0.0238, 0.0238)  1 Si 2.24, 4 V 2.35-2.40, 2 W 2.50
Si (0.9762, 0.2738, 0.2738)  1 Si 2.24, 4 V 2.35-2.40, 2 W 2.50
W (0.0000, 0.5000, 0.5000)  2 Si 2.50, 2 W 2.76
W (0.5000, 0.0000, 0.5000)  2 Si 2.50, 2 W 2.76
W (0.5000, 0.5000, 0.0000)  2 Si 2.50, 2 W 2.76
W (0.5000, 0.5000, 0.5000)  2 Si 2.50, 2 W 2.76

Calculated values
Its space group is Fddd (70). As for the mass density: 9.39 g cm⁻³.


Entry 21:
VSi2W2 | PBE-GGA | relaxed

a = 5.5483 Å, b = 5.5483 Å, c = 9.2604 Å
α = 118.10°, β = 118.10°, γ = 36.02°
Closest atoms and distances in Å follow each position.
Atoms (fractional coordinates):
V (0.2092, 0.2092, 0.3676)  4 Si 2.31-2.52
V (0.7908, 0.7908, 0.6324)  4 Si 2.31-2.52
Si (0.0375, 0.0375, 0.8927)  1 Si 2.48, 6 W 2.51-2.71, 1 V 2.52
Si (0.1251, 0.1251, 0.5695)  1 Si 2.29, 3 V 2.31-2.43, 2 W 2.53
Si (0.8749, 0.8749, 0.4305)  1 Si 2.29, 3 V 2.31-2.43, 2 W 2.53
Si (0.9625, 0.9625, 0.1073)  1 Si 2.48, 6 W 2.51-2.71, 1 V 2.52
W (0.3350, 0.3350, 0.8833)  5 Si 2.51-2.71, 2 V 2.74
W (0.4789, 0.4789, 0.3169)  6 Si 2.53-2.69, 2 V 2.82
W (0.5211, 0.5211, 0.6831)  6 Si 2.53-2.69, 2 V 2.82
W (0.6650, 0.6650, 0.1167)  5 Si 2.51-2.71, 2 V 2.74

Calculated values
Its polymorph energy (0 for the lowest one) is 147.0 meV per atom. Its space group is C2/m (12). As for the mass density: 10.83 g cm⁻³.


Entry 22:
V2Si6W | PBE-GGA | relaxed

a = 4.5988 Å, b = 4.5988 Å, c = 6.4184 Å
α = 90.00°, β = 90.00°, γ = 119.81°
Closest atoms and distances in Å follow each position.
Atoms (fractional coordinates):
V (0.0000, 0.5000, 0.1678)  10 Si 2.50-2.70
V (0.5000, 0.0000, 0.8322)  10 Si 2.50-2.70
Si (0.1776, 0.3436, 0.8379)  5 Si 2.46-2.74, 4 V 2.50-2.70, 1 W 2.57
Si (0.3359, 0.6641, 0.5000)  5 Si 2.52-2.68, 2 V 2.52, 3 W 2.65-2.67
Si (0.3436, 0.1776, 0.1621)  5 Si 2.46-2.74, 4 V 2.50-2.70, 1 W 2.57
Si (0.6564, 0.8224, 0.1621)  5 Si 2.46-2.74, 4 V 2.50-2.70, 1 W 2.57
Si (0.6641, 0.3359, 0.5000)  5 Si 2.52-2.68, 2 V 2.52, 3 W 2.65-2.67
Si (0.8224, 0.6564, 0.8379)  5 Si 2.46-2.74, 4 V 2.50-2.70, 1 W 2.57
W (0.0000, 0.0000, 0.5000)  10 Si 2.57-2.67

Calculated values
Its space group is C222 (21). As for the mass density: 6.40 g cm⁻³.


Going through the records in order, we get total magnetization values of 0.0 0.0 0.0 0.0 0.0 0.7 1.0 0.0 0.0 0.0 0.0 0.0 0.0 0.0 0.0 0.0 0.0 0.8 1.2 0.0 0.0 0.0 Bohr magnetons per cell.
Going through the records in order, we get ΔE_f (raw) values of -272.0 -316.4 907.0 -285.9 -351.3 1011.4 244.8 98.9 760.2 664.8 -215.1 -210.0 -166.4 -352.0 -166.4 -6.8 -71.1 259.0 1319.7 339.5 -9.4 -430.1 meV/atom.